(1)
This record from Alexandria via LeMat-Bulk describes a relaxed structure of LiNiBr. The functional is PBE-GGA.

- formation energy without anion corrections (eV per atom) = -0.044
- relative energy among the computed polymorphs (meV per atom) = 409
- space group = P6_3/mmc

Cell lengths 4.2972, 4.2972, 8.8959 Å; angles 90.00, 90.00, 120.00 degrees
Sites, in units of the cell vectors:
Li (0.3333, 0.6667, 0.2500)
Li (0.6667, 0.3333, 0.7500)
Ni (0.0000, 0.0000, 0.0000)
Ni (0.0000, 0.0000, 0.5000)
Br (0.0000, 0.0000, 0.2500)
Br (0.0000, 0.0000, 0.7500)

(2)
This record from Alexandria via LeMat-Bulk describes a relaxed structure of Pa2Co3NiP4. The functional is PBE-GGA.

- ΔE_f (meV per atom) = -994
- space group = P-4m2

Cell lengths 4.0067, 4.0067, 8.8105 Å; angles 90.00, 90.00, 90.00 degrees
Sites, in units of the cell vectors:
Pa (0.0000, 0.5000, 0.2493)
Pa (0.5000, 0.0000, 0.7507)
Co (0.0000, 0.0000, 0.0000)
Co (0.0000, 0.5000, 0.6111)
Co (0.5000, 0.0000, 0.3889)
Ni (0.5000, 0.5000, 0.0000)
P (0.0000, 0.0000, 0.5000)
P (0.0000, 0.5000, 0.8673)
P (0.5000, 0.0000, 0.1327)
P (0.5000, 0.5000, 0.5000)

(3)
This record from Alexandria via LeMat-Bulk describes a relaxed structure of LiLaDyTl. The functional is PBE-GGA.

- ΔE_f (meV per atom) = -196
- space group = F-43m

Cell lengths 5.4351, 5.4351, 5.4351 Å; angles 60.00, 60.00, 60.00 degrees
Sites, in units of the cell vectors:
Li (0.0000, 0.0000, 0.0000)
La (0.2500, 0.2500, 0.2500)
Dy (0.7500, 0.7500, 0.7500)
Tl (0.5000, 0.5000, 0.5000)

(4)
This record from Alexandria via LeMat-Bulk describes a relaxed structure of Pr3V5Te12. The functional is PBE-GGA.

- formation energy without anion corrections (eV per atom) = -0.582
- space group = Ia-3d

Cell lengths 14.8680, 14.8680, 14.8680 Å; angles 109.47, 109.47, 109.47 degrees
Sites, in units of the cell vectors:
Pr (0.1250, 0.2500, 0.3750)
Pr (0.1250, 0.3750, 0.7500)
Pr (0.2500, 0.3750, 0.1250)
Pr (0.2500, 0.8750, 0.6250)
Pr (0.3750, 0.1250, 0.2500)
Pr (0.3750, 0.7500, 0.1250)
Pr (0.6250, 0.2500, 0.8750)
Pr (0.6250, 0.8750, 0.7500)
Pr (0.7500, 0.1250, 0.3750)
Pr (0.7500, 0.6250, 0.8750)
Pr (0.8750, 0.6250, 0.2500)
Pr (0.8750, 0.7500, 0.6250)
V (0.0000, 0.0000, 0.0000)
V (0.0000, 0.0000, 0.5000)
V (0.0000, 0.5000, 0.0000)
V (0.0000, 0.5000, 0.5000)
V (0.1250, 0.7500, 0.8750)
V (0.1250, 0.8750, 0.2500)
V (0.2500, 0.1250, 0.8750)
V (0.2500, 0.6250, 0.3750)
V (0.3750, 0.2500, 0.6250)
V (0.3750, 0.6250, 0.7500)
V (0.5000, 0.0000, 0.0000)
V (0.5000, 0.0000, 0.5000)
V (0.5000, 0.5000, 0.0000)
V (0.5000, 0.5000, 0.5000)
V (0.6250, 0.3750, 0.2500)
V (0.6250, 0.7500, 0.3750)
V (0.7500, 0.3750, 0.6250)
V (0.7500, 0.8750, 0.1250)
V (0.8750, 0.1250, 0.7500)
V (0.8750, 0.2500, 0.1250)
Te (0.0287, 0.2071, 0.1165)
Te (0.0287, 0.3216, 0.9122)
Te (0.0878, 0.6165, 0.4094)
Te (0.0878, 0.9713, 0.6784)
Te (0.0906, 0.7071, 0.6784)
Te (0.0906, 0.8835, 0.4122)
Te (0.1165, 0.0287, 0.2071)
Te (0.1165, 0.5878, 0.9094)
Te (0.1784, 0.2071, 0.5906)
Te (0.1784, 0.4713, 0.5878)
Te (0.2071, 0.1165, 0.0287)
Te (0.2071, 0.5906, 0.1784)
Te (0.2929, 0.3216, 0.9094)
Te (0.2929, 0.4713, 0.3835)
Te (0.3216, 0.9094, 0.2929)
Te (0.3216, 0.9122, 0.0287)
Te (0.3835, 0.2929, 0.4713)
Te (0.3835, 0.5906, 0.9122)
Te (0.4094, 0.0878, 0.6165)
Te (0.4094, 0.8216, 0.7929)
Te (0.4122, 0.0906, 0.8835)
Te (0.4122, 0.8216, 0.5287)
Te (0.4713, 0.3835, 0.2929)
Te (0.4713, 0.5878, 0.1784)
Te (0.5287, 0.4122, 0.8216)
Te (0.5287, 0.6165, 0.7071)
Te (0.5878, 0.1784, 0.4713)
Te (0.5878, 0.9094, 0.1165)
Te (0.5906, 0.1784, 0.2071)
Te (0.5906, 0.9122, 0.3835)
Te (0.6165, 0.4094, 0.0878)
Te (0.6165, 0.7071, 0.5287)
Te (0.6784, 0.0878, 0.9713)
Te (0.6784, 0.0906, 0.7071)
Te (0.7071, 0.5287, 0.6165)
Te (0.7071, 0.6784, 0.0906)
Te (0.7929, 0.4094, 0.8216)
Te (0.7929, 0.8835, 0.9713)
Te (0.8216, 0.5287, 0.4122)
Te (0.8216, 0.7929, 0.4094)
Te (0.8835, 0.4122, 0.0906)
Te (0.8835, 0.9713, 0.7929)
Te (0.9094, 0.1165, 0.5878)
Te (0.9094, 0.2929, 0.3216)
Te (0.9122, 0.0287, 0.3216)
Te (0.9122, 0.3835, 0.5906)
Te (0.9713, 0.6784, 0.0878)
Te (0.9713, 0.7929, 0.8835)

(5)
This record from Alexandria via LeMat-Bulk describes a relaxed structure of VCo2Pt6. The functional is PBE-GGA.

- ΔE_f (meV per atom) = -243
- space group = C2/m

Cell lengths 4.7172, 4.7172, 8.2119 Å; angles 106.48, 106.48, 48.39 degrees
Sites, in units of the cell vectors:
V (0.0000, 0.0000, 0.0000)
Co (0.3367, 0.3367, 0.7797)
Co (0.6633, 0.6633, 0.2203)
Pt (0.0009, 0.0009, 0.6822)
Pt (0.3329, 0.3329, 0.4443)
Pt (0.3359, 0.3359, 0.1024)
Pt (0.6641, 0.6641, 0.8976)
Pt (0.6671, 0.6671, 0.5557)
Pt (0.9991, 0.9991, 0.3178)

(6)
This record from Alexandria via LeMat-Bulk describes a relaxed structure of Bi2MoH. The functional is PBE-GGA.

- relative energy among the computed polymorphs (meV per atom) = 0
- space group = I-42d

Cell lengths 5.9616, 5.9616, 5.9616 Å; angles 111.08, 111.08, 106.31 degrees
Sites, in units of the cell vectors:
Bi (0.0533, 0.1250, 0.4283)
Bi (0.3750, 0.9467, 0.0717)
Bi (0.6967, 0.6250, 0.5717)
Bi (0.8750, 0.3033, 0.9283)
Mo (0.2500, 0.7500, 0.5000)
Mo (0.5000, 0.5000, 0.0000)
H (0.0000, 0.0000, 0.0000)
H (0.7500, 0.2500, 0.5000)

(7)
This record from Alexandria via LeMat-Bulk describes a relaxed structure of Nd14YIn. The functional is PBE-GGA.

- ΔE_f (meV per atom) = -42
- space group = Amm2

Cell lengths 10.3119, 7.2637, 7.2637 Å; angles 89.99, 90.00, 90.00 degrees
Sites, in units of the cell vectors:
Nd (0.0000, 0.9999, 0.9999)
Nd (0.0000, 0.0003, 0.4995)
Nd (0.0000, 0.4995, 0.0003)
Nd (0.0000, 0.5000, 0.5000)
Nd (0.2553, 0.2474, 0.2474)
Nd (0.2550, 0.2475, 0.7521)
Nd (0.2550, 0.7521, 0.2475)
Nd (0.2546, 0.7521, 0.7521)
Nd (0.5000, 0.5004, 0.9994)
Nd (0.5000, 0.9994, 0.5004)
Nd (0.7447, 0.2474, 0.2474)
Nd (0.7450, 0.2475, 0.7521)
Nd (0.7450, 0.7521, 0.2475)
Nd (0.7454, 0.7521, 0.7521)
Y (0.5000, 0.4998, 0.4998)
In (0.5000, 0.9995, 0.9995)

(8)
This record from Alexandria via LeMat-Bulk describes a relaxed structure of CsNaAs2Se. The functional is PBE-GGA.

- formation energy without anion corrections (eV per atom) = 0.342
- relative energy among the computed polymorphs (meV per atom) = 0
- space group = P4/mmm

Cell lengths 5.3353, 5.3353, 5.5030 Å; angles 90.00, 90.00, 90.00 degrees
Sites, in units of the cell vectors:
Cs (0.0000, 0.0000, 0.0000)
Na (0.5000, 0.5000, 0.5000)
As (0.0000, 0.5000, 0.5000)
As (0.5000, 0.0000, 0.5000)
Se (0.5000, 0.5000, 0.0000)

(9)
This record from Alexandria via LeMat-Bulk describes a relaxed structure of CoSe4Br. The functional is PBE-GGA.

- formation energy without anion corrections (eV per atom) = -0.013
- relative energy among the computed polymorphs (meV per atom) = 0
- space group = P-1

Cell lengths 6.8892, 6.9786, 7.7770 Å; angles 63.39, 84.17, 76.82 degrees
Sites, in units of the cell vectors:
Co (0.2500, 0.9997, 0.0007)
Co (0.7500, 0.0003, 0.9993)
Se (0.0353, 0.0811, 0.7363)
Se (0.0880, 0.6893, 0.1195)
Se (0.4122, 0.1914, 0.1195)
Se (0.4644, 0.1824, 0.7363)
Se (0.5356, 0.8176, 0.2637)
Se (0.5878, 0.8086, 0.8805)
Se (0.9120, 0.3107, 0.8805)
Se (0.9647, 0.9189, 0.2637)
Br (0.2500, 0.6646, 0.6708)
Br (0.7500, 0.3354, 0.3292)

(10)
This record from Alexandria via LeMat-Bulk describes a relaxed structure of TbPr7Mg4. The functional is PBE-GGA.

- ΔE_f (meV per atom) = 115
- space group = C2/m

Cell lengths 8.3258, 8.3258, 9.9141 Å; angles 118.98, 118.98, 41.60 degrees
Sites, in units of the cell vectors:
Tb (0.0000, 0.0000, 0.0000)
Pr (0.0823, 0.0823, 0.4262)
Pr (0.1966, 0.1966, 0.8786)
Pr (0.2534, 0.2534, 0.2878)
Pr (0.5000, 0.5000, 0.0000)
Pr (0.7466, 0.7466, 0.7122)
Pr (0.8034, 0.8034, 0.1214)
Pr (0.9177, 0.9177, 0.5738)
Mg (0.3254, 0.3254, 0.6553)
Mg (0.4625, 0.4625, 0.3063)
Mg (0.5375, 0.5375, 0.6937)
Mg (0.6746, 0.6746, 0.3447)

Number 1: calculated total energy -3.17 eV/atom, calculated density 3.40 Mg/m³. Number 2: calculated total energy -7.77 eV/atom, calculated density 9.64 Mg/m³. Number 3: calculated total energy -3.65 eV/atom, calculated density 7.50 Mg/m³. Number 4: calculated total energy -5.46 eV/atom, calculated density 5.80 Mg/m³. Number 5: calculated total energy -6.86 eV/atom, calculated density 17.13 Mg/m³. Number 6: calculated total energy -4.67 eV/atom, calculated density 10.51 Mg/m³. Number 7: calculated total energy -4.79 eV/atom, calculated density 6.79 Mg/m³. Number 8: calculated total energy -2.65 eV/atom, calculated density 4.08 Mg/m³. Number 9: calculated total energy -3.80 eV/atom, calculated density 4.64 Mg/m³. Number 10: calculated total energy -3.59 eV/atom, calculated density 5.29 Mg/m³.